# LiAsPdPt (PBE, optimized geometry)
# - crystal system = cubic
# - calculated formation energy (eV per atom) = -0.46
# - electronic total energy (eV per atom) = -4.910
# - magnetization (μB/f.u.) = 0.0
data_LiAsPdPt
_chemical_formula_sum 'Li4 As4 Pd4 Pt4'
_symmetry_space_group_name_H-M 'F -4 3 m'
_symmetry_Int_Tables_number 216
_symmetry_space_group_name_Hall 'F -4 2 3'
_cell_length_a 6.163
_cell_length_b 6.163
_cell_length_c 6.163
_cell_angle_alpha 90.00
_cell_angle_beta 90.00
_cell_angle_gamma 90.00
loop_
_atom_site_label
_atom_site_fract_x
_atom_site_fract_y
_atom_site_fract_z
Li1 0.000 0.000 0.000
As1 0.000 0.000 0.500
Pd1 0.250 0.250 0.750
Pt1 0.250 0.250 0.250

=====

# KHgP3O9 (PBE, optimized geometry)
# - crystal system = orthorhombic
# - electronic total energy (eV per atom) = -6.385
# - magnetization (μB/f.u.) = 0.0
# - uncorrected formation energy (eV/f.u.) = -27.1
data_KHgP3O9
_chemical_formula_sum 'K4 Hg4 P12 O36'
_symmetry_space_group_name_H-M 'P 21 21 21'
_symmetry_Int_Tables_number 19
_symmetry_space_group_name_Hall 'P 2ac 2ab'
_cell_length_a 5.727
_cell_length_b 11.445
_cell_length_c 12.707
_cell_angle_alpha 90.00
_cell_angle_beta 90.00
_cell_angle_gamma 90.00
loop_
_atom_site_label
_atom_site_fract_x
_atom_site_fract_y
_atom_site_fract_z
K1 0.095 0.118 0.079
Hg1 0.095 0.481 0.137
P1 0.076 0.188 0.814
P2 0.106 0.841 0.853
P3 0.118 0.584 0.872
O1 0.016 0.506 0.955
O2 0.025 0.427 0.582
O3 0.061 0.309 0.748
O4 0.079 0.092 0.721
O5 0.118 0.717 0.916
O6 0.144 0.678 0.620
O7 0.151 0.448 0.323
O8 0.154 0.129 0.312
O9 0.195 0.816 0.371

=====

Question: Which of these has the lowest electronic total energy?
Answer: KHgP3O9

=====

Question: What is the formula in the first record?
Answer: LiAsPdPt